# Be6Te7

A relaxed Be6Te7 crystal (PBE-GGA, Alexandria). Values from VASP.

Calculated values
Formation energy (no corrections), eV/atom: 0.717
Electronic total energy, eV per atom: -2.694

Geometry as Quantum ESPRESSO input:
```
&SYSTEM
  ibrav = 0, nat = 13, ntyp = 2
/
ATOMIC_SPECIES
Be 9.01 Be.upf
Te 127.60 Te.upf
CELL_PARAMETERS angstrom
3.668 2.118 6.988
-3.668 2.118 6.988
0.000 -4.235 6.988
ATOMIC_POSITIONS crystal
Be 0.057 0.057 0.057
Be 0.166 0.166 0.166
Be 0.350 0.350 0.350
Be 0.650 0.650 0.650
Be 0.834 0.834 0.834
Be 0.943 0.943 0.943
Te 0.052 0.593 0.593
Te 0.407 0.407 0.948
Te 0.407 0.948 0.407
Te 0.500 0.500 0.500
Te 0.593 0.052 0.593
Te 0.593 0.593 0.052
Te 0.948 0.407 0.407
```